[1]
Below is a relaxed PmPuGe crystal, with properties calculated at the PBE level.

The calculation puts the density of states at the Fermi level at 7.10 states/eV/f.u. The size of the total moment comes out at 2.010 μB/atom. For the total energy, the calculation gives -24.35 eV/cell. The calculation puts the energy above the lowest structure with this stoichiometry at 46 meV/atom. The energy relative to the elements comes out at -0.215 eV per atom.

The structure belongs to space group P3m1 (No. 156); the cell edges are 4.8988, 4.8988 and 3.7148 Å and the angles 90.00°, 90.00° and 120.00°. The distinct sites, in fractional coordinates, are Pm at (0.0000, 0.0000, 0.0000), Pu at (0.6667, 0.3333, 0.5793) and Ge at (0.3333, 0.6667, 0.3157).

[2]
Below is a relaxed AuBr3N crystal, with properties calculated at the PBE level.

The calculation puts the density of states at the Fermi level at 2.47 states/eV/f.u. The size of the total moment comes out at 0.000 μB/atom. For the total energy, the calculation gives -10.93 eV/cell. The formation energy from raw total energies comes out at 1139 meV/atom. The calculation puts the energy above the lowest structure with this stoichiometry at 41 meV/atom.

The structure belongs to space group Pm-3m (No. 221); the cell edges are 4.723, 4.723 and 4.723 Å and the angles 90.00°, 90.00° and 90.00°. The distinct sites, in fractional coordinates, are Au at (0.000, 0.000, 0.000), Br at (0.000, 0.500, 0.500) and N at (0.500, 0.500, 0.500).

[3]
Below is a relaxed CaZnTe4 crystal, with properties calculated at the PBE level.

The calculation puts the density of states at the Fermi level at 0.75 states/eV/f.u. The size of the total moment comes out at 0.000 μB/atom. For the total energy, the calculation gives -65.02 eV/cell. The formation energy from raw total energies comes out at -69 meV/atom.

The structure belongs to space group F-43m (No. 216); the cell edges are 9.117, 9.117 and 9.117 Å and the angles 90.00°, 90.00° and 90.00°. The distinct sites, in fractional coordinates, are Ca at (0.000, 0.000, 0.000), Zn at (0.250, 0.250, 0.250) and Te at (0.125, 0.125, 0.625).

[4]
Below is a relaxed MgS2NF crystal, with properties calculated at the PBE level.

The calculation puts the density of states at the Fermi level at 4.89 states/eV/f.u. The size of the total moment comes out at 0.000 μB/atom. For the total energy, the calculation gives -15.00 eV/cell. The formation energy from raw total energies comes out at 1009 meV/atom. The calculation puts the energy above the lowest structure with this stoichiometry at 12 meV/atom.

The structure belongs to space group P4/mmm (No. 123); the cell edges are 4.756, 4.756 and 3.932 Å and the angles 90.00°, 90.00° and 90.00°. The distinct sites, in fractional coordinates, are Mg at (0.000, 0.000, 0.000), S at (0.000, 0.500, 0.000), N at (0.000, 0.000, 0.500) and F at (0.500, 0.500, 0.500).

[5]
Below is a relaxed Pm5Sm3Dy crystal, with properties calculated at the PBE level.

The calculation puts the density of states at the Fermi level at 13.77 states/eV/f.u. The size of the total moment comes out at 0.000 μB/atom. For the total energy, the calculation gives -152.66 eV/cell. The calculation puts the energy above the lowest structure with this stoichiometry at 212 meV/atom. The energy relative to the elements comes out at 0.483 eV per atom.

The structure belongs to space group C2/m (No. 12); the cell edges are 15.381, 11.698 and 9.907 Å and the angles 90.00°, 129.70° and 90.00°. The distinct sites, in fractional coordinates, are Pm at (0.000, 0.247, 0.000), Pm at (0.149, 0.248, 0.738), Pm at (0.226, 0.000, 0.230), Pm at (0.226, 0.500, 0.049), Sm at (0.000, 0.000, 0.500), Sm at (0.000, 0.500, 0.000), Sm at (0.006, 0.000, 0.819), Sm at (0.015, 0.500, 0.352) and Dy at (0.249, 0.500, 0.407).

[6]
Below is a relaxed TbGdLuTl crystal, with properties calculated at the PBE level.

The calculation puts the density of states at the Fermi level at 4.99 states/eV/f.u. The size of the total moment comes out at 2.112 μB/atom. For the total energy, the calculation gives -103.52 eV/cell. The energy relative to the elements comes out at -0.070 eV per atom.

The structure belongs to space group F-43m (No. 216); the cell edges are 7.712, 7.712 and 7.712 Å and the angles 90.00°, 90.00° and 90.00°. The distinct sites, in fractional coordinates, are Tb at (0.000, 0.000, 0.000), Gd at (0.000, 0.000, 0.500), Lu at (0.250, 0.250, 0.750) and Tl at (0.250, 0.250, 0.250).

[7]
Below is a relaxed Mn5Be2GaTc2 crystal, with properties calculated at the PBE level.

The calculation puts the density of states at the Fermi level at 10.28 states/eV/f.u. The size of the total moment comes out at 0.930 μB/atom. For the total energy, the calculation gives -153.39 eV/cell. The energy relative to the elements comes out at 0.036 eV per atom.

The structure belongs to space group P4/mbm (No. 127); the cell edges are 8.401, 8.401 and 3.322 Å and the angles 90.00°, 90.00° and 90.00°. The distinct sites, in fractional coordinates, are Mn at (0.000, 0.500, 0.000), Mn at (0.067, 0.214, 0.000), Be at (0.119, 0.381, 0.500), Ga at (0.000, 0.000, 0.500) and Tc at (0.174, 0.674, 0.500).

[8]
Below is a relaxed LaSn3C crystal, with properties calculated at the PBE level.

The calculation puts the density of states at the Fermi level at 4.63 states/eV/f.u. The size of the total moment comes out at 0.000 μB/atom. For the total energy, the calculation gives -23.98 eV/cell. The calculation puts the energy above the lowest structure with this stoichiometry at 0 meV/atom. The energy relative to the elements comes out at 0.435 eV per atom.

The structure belongs to space group Pm-3m (No. 221); the cell edges are 4.932, 4.932 and 4.932 Å and the angles 90.00°, 90.00° and 90.00°. The distinct sites, in fractional coordinates, are La at (0.000, 0.000, 0.000), Sn at (0.000, 0.500, 0.500) and C at (0.500, 0.500, 0.500).